Compound: LiTlCoSn2
Source: Alexandria via LeMat-Bulk
Functional: PBE
Structure: relaxed

a b c (Å): 4.8726 4.8726 5.0045
angles (deg): 90.00 90.00 90.00
With the nearest neighbours (Å) after each atom.
Sites, in units of the cell vectors:
Tl (0.5000, 0.5000, 0.5000)  4 Li 3.45, 8 Sn 3.49
Co (0.0000, 0.0000, 0.0000)  4 Sn 2.44, 2 Li 2.50
Sn (0.0000, 0.5000, 0.0000)  2 Co 2.44
Sn (0.5000, 0.0000, 0.0000)  2 Co 2.44
Li (0.0000, 0.0000, 0.5000)  2 Co 2.50

Formation energy, eV per atom: 0.01

=====

Compound: TbMg2In3
Source: Alexandria via LeMat-Bulk
Functional: PBE
Structure: relaxed

a b c (Å): 4.4958 4.5772 7.3684
angles (deg): 108.10 90.00 90.00
With the nearest neighbours (Å) after each atom.
Sites, in units of the cell vectors:
Mg (0.0000, 0.3277, 0.6554)  8 In 3.15-3.30, 2 Mg 3.16, 2 Tb 3.33
Mg (0.0000, 0.6723, 0.3446)  8 In 3.15-3.30, 2 Mg 3.16, 2 Tb 3.33
Tb (0.0000, 0.0000, 0.0000)  8 In 3.21-3.28, 4 Mg 3.33
In (0.5000, 0.8296, 0.6593)  6 Mg 3.15-3.21, 4 In 3.20-3.31, 2 Tb 3.28
In (0.5000, 0.5000, 0.0000)  4 Tb 3.21, 4 Mg 3.30, 4 In 3.31
In (0.5000, 0.1704, 0.3407)  6 Mg 3.15-3.21, 4 In 3.20-3.31, 2 Tb 3.28

Formation energy, eV per atom: -0.29

=====

Compound: Pm4Ir2Cl
Source: Alexandria via LeMat-Bulk
Functional: PBE
Structure: relaxed

a b c (Å): 8.5250 8.5250 8.5250
angles (deg): 119.99 90.01 119.99
With the nearest neighbours (Å) after each atom.
Sites, in units of the cell vectors:
Ir (0.3757, 0.2507, 0.6250)  6 Pm 2.84
Ir (0.8750, 0.2493, 0.6243)  6 Pm 2.84
Ir (0.3750, 0.7507, 0.6257)  6 Pm 2.84
Ir (0.3743, 0.7493, 0.1250)  6 Pm 2.84
Pm (0.6092, 0.7797, 0.3901)  3 Ir 2.84, 1 Cl 2.93
Pm (0.1401, 0.2797, 0.8592)  3 Ir 2.84, 1 Cl 2.93
Pm (0.1396, 0.7191, 0.8599)  3 Ir 2.84, 1 Cl 2.93
Pm (0.1408, 0.2809, 0.4205)  3 Ir 2.84, 1 Cl 2.93
Pm (0.6104, 0.2203, 0.8295)  3 Ir 2.84, 1 Cl 2.93
Pm (0.5795, 0.7203, 0.8604)  3 Ir 2.84, 1 Cl 2.93
Pm (0.6099, 0.2191, 0.3896)  3 Ir 2.84, 1 Cl 2.93
Pm (0.1705, 0.7809, 0.3908)  3 Ir 2.84, 1 Cl 2.93
Cl (0.0000, 0.0000, 0.0000)  4 Pm 2.93
Cl (0.7500, 0.5000, 0.2500)  4 Pm 2.93

Raw formation energy, meV per atom: -919

=====

Ordered DOS at the Fermi energy results: 3.0 3.1 4.1; unit states/eV/f.u..
Ordered E results: -3.869 -2.962 -6.429; unit eV/atom.